Record 1
The following is a DFT calculation (PBE) of a relaxed ScS3N crystal.

Lattice parameters (Å, degrees): 4.1649 4.1649 4.1649 90.00 90.00 90.00
Sites, in units of the cell vectors:
Sc 0.5000 0.5000 0.5000
S 0.0000 0.5000 0.0000
S 0.0000 0.0000 0.5000
S 0.5000 0.0000 0.0000
N 0.0000 0.0000 0.0000

SG: Pm-3m (221)
Raw formation energy (kJ per mole of atoms): 15.80

=====

Record 2
The following is a DFT calculation (PBE) of a relaxed TbPmGd crystal.

Lattice parameters (Å, degrees): 3.6035 3.6035 8.7926 90.00 90.00 120.00
Site moments in Bohr magnetons follow the coordinates.
Sites, in units of the cell vectors:
Gd 0.6667 0.3333 0.3310  7.19
Tb 0.0000 0.0000 0.0007  -0.04
Pm 0.3333 0.6667 0.6684  -0.05

E (eV per atom): -7.803
SG: P3m1 (156)